Here is a relaxed Li3Mn2CrO6 crystal from the Alexandria database. Energies are from GGA+U.

a b c (Å): 6.5939 6.5939 5.9092
angles (deg): 103.48 103.48 25.66
Fractional positions:
Li1 0.0000 0.0000 0.0000
Li2 0.3323 0.3323 0.6671
Li3 0.6677 0.6677 0.3329
Mn1 0.3329 0.3329 0.1642
Mn2 0.6671 0.6671 0.8358
Cr1 0.0000 0.0000 0.5000
O1 0.1624 0.1624 0.6003
O2 0.1723 0.1723 0.0693
O3 0.4942 0.4942 0.2621
O4 0.5058 0.5058 0.7379
O5 0.8277 0.8277 0.9307
O6 0.8376 0.8376 0.3997

* ρ: 4.3 g/cm³
* raw total energy: -6.54 eV/atom
* crystal system: monoclinic